Density functional theory data (PBE-GGA) for SrIr2Br after structural relaxation.

a = 3.651 Å, b = 5.717 Å, c = 4.489 Å
α = 90.00°, β = 91.05°, γ = 90.00°
Fractional coordinates of all 4 atoms:
Sr 0.000 0.000 0.000
Ir 0.374 0.500 0.245
Ir 0.626 0.500 0.755
Br 0.500 0.000 0.500

Results
**ρ**: 9.78 g/cm3
**Polymorph energy (0 for the lowest one)**: 459.8 meV per atom
**Space-group type**: P2/m, No. 10
**VASP energy**: -5.07 eV/atom
**E_form (uncorrected)**: 0.201 eV/atom

=====

Density functional theory data (PBE-GGA) for Sr2IrBr2 after structural relaxation.

a = 8.262 Å, b = 8.262 Å, c = 8.262 Å
α = 147.13°, β = 147.13°, γ = 47.17°
Fractional coordinates of all 5 atoms:
Sr 0.120 0.120 0.000
Sr 0.880 0.880 0.000
Ir 0.500 0.500 0.000
Br 0.250 0.750 0.500
Br 0.750 0.250 0.500

Results
**ρ**: 5.29 g/cm3
**Polymorph energy (0 for the lowest one)**: 176.1 meV per atom
**Space-group type**: I4/mmm, No. 139
**VASP energy**: -3.65 eV/atom
**E_form (uncorrected)**: -0.535 eV/atom

=====

Density functional theory data (PBE-GGA) for SrIrBr2 after structural relaxation.

a = 3.678 Å, b = 3.678 Å, c = 8.277 Å
α = 90.00°, β = 90.00°, γ = 90.00°
Fractional coordinates of all 4 atoms:
Sr 0.000 0.000 0.000
Ir 0.500 0.500 0.709
Br 0.000 0.000 0.644
Br 0.500 0.500 0.206

Results
**ρ**: 6.52 g/cm3
**Polymorph energy (0 for the lowest one)**: 206.2 meV per atom
**Space-group type**: P4mm, No. 99
**VASP energy**: -3.86 eV/atom
**E_form (uncorrected)**: -0.391 eV/atom

=====

Density functional theory data (PBE-GGA) for SrIrBr2 after structural relaxation.

a = 3.626 Å, b = 4.492 Å, c = 6.086 Å
α = 90.00°, β = 90.00°, γ = 90.00°
Fractional coordinates of all 4 atoms:
Sr 0.000 0.000 0.000
Ir 0.500 0.000 0.500
Br 0.000 0.500 0.500
Br 0.500 0.500 0.000

Results
**ρ**: 7.36 g/cm3
**Polymorph energy (0 for the lowest one)**: 384.5 meV per atom
**Space-group type**: Pmmm, No. 47
**VASP energy**: -3.69 eV/atom
**E_form (uncorrected)**: -0.213 eV/atom

=====

Density functional theory data (PBE-GGA) for SrIrBr after structural relaxation.

a = 5.991 Å, b = 5.991 Å, c = 8.507 Å
α = 112.08°, β = 112.08°, γ = 42.36°
Fractional coordinates of all 6 atoms:
Sr 0.000 0.000 0.000
Sr 0.169 0.169 0.610
Ir 0.471 0.471 0.692
Ir 0.890 0.890 0.596
Br 0.294 0.294 0.012
Br 0.651 0.651 0.308

Results
**ρ**: 6.35 g/cm3
**Polymorph energy (0 for the lowest one)**: 296.7 meV per atom
**Space-group type**: Cm, No. 8
**VASP energy**: -4.86 eV/atom
**E_form (uncorrected)**: -0.784 eV/atom

=====

Density functional theory data (PBE-GGA) for SrIrBr after structural relaxation.

a = 3.663 Å, b = 3.663 Å, c = 6.793 Å
α = 90.00°, β = 90.00°, γ = 120.00°
Fractional coordinates of all 3 atoms:
Sr 0.000 0.000 0.000
Ir 0.333 0.667 0.674
Br 0.667 0.333 0.327

Results
**ρ**: 7.57 g/cm3
**Polymorph energy (0 for the lowest one)**: 1346.4 meV per atom
**Space-group type**: P3m1, No. 156
**VASP energy**: -3.81 eV/atom
**E_form (uncorrected)**: 0.265 eV/atom

=====

Density functional theory data (PBE-GGA) for SrIrBr2 after structural relaxation.

a = 8.869 Å, b = 8.869 Å, c = 8.869 Å
α = 27.05°, β = 27.05°, γ = 27.05°
Fractional coordinates of all 4 atoms:
Sr 0.000 0.000 0.000
Ir 0.500 0.500 0.500
Br 0.119 0.119 0.119
Br 0.881 0.881 0.881

Results
**ρ**: 5.74 g/cm3
**Polymorph energy (0 for the lowest one)**: 736.0 meV per atom
**Space-group type**: R-3m, No. 166
**VASP energy**: -3.33 eV/atom
**E_form (uncorrected)**: 0.139 eV/atom

=====

Density functional theory data (PBE-GGA) for SrIr2Br after structural relaxation.

a = 8.863 Å, b = 8.863 Å, c = 8.863 Å
α = 146.49°, β = 146.49°, γ = 48.11°
Fractional coordinates of all 8 atoms:
Sr 0.000 0.000 0.000
Sr 0.750 0.250 0.500
Ir 0.318 0.625 0.193
Ir 0.375 0.568 0.693
Ir 0.432 0.125 0.807
Ir 0.875 0.682 0.307
Br 0.250 0.750 0.500
Br 0.500 0.500 0.000

Results
**ρ**: 8.68 g/cm3
**Polymorph energy (0 for the lowest one)**: 607.2 meV per atom
**Space-group type**: I-42d, No. 122
**VASP energy**: -4.92 eV/atom
**E_form (uncorrected)**: 0.349 eV/atom